# 1
The following is a PBE calculation of an optimized crystal structure of Li2CrP, from Alexandria.

spin magnetization	1.048	μB/atom
uncorrected energy	-19.5	eV per cell
energy relative to the elements	-0.16	eV per atom

abc: 4.362 4.362 4.992
angles: 62.52 62.52 51.08
Each line ends with the local moment (μB).
Sites, in units of the cell vectors:
Li: 0.995 0.995 0.046  0.05
Cr: 0.204 0.204 0.362  3.50
P: 0.514 0.514 0.358  -0.08
Li: 0.787 0.787 0.733  0.03

***

# 2
The following is a PBE calculation of an optimized crystal structure of LiCrP2, from Alexandria.

spin magnetization	0.003	μB/atom
uncorrected energy	-22.9	eV per cell
distance to the lowest polymorph of the same formula	0.2518	eV per atom
energy relative to the elements	-0.13	eV per atom

abc: 4.310 4.310 4.310
angles: 133.86 121.59 77.47
Sites, in units of the cell vectors:
Li: 0.250 0.750 0.500
P: 0.006 0.006 0.000
Cr: 0.750 0.250 0.500
P: 0.494 0.494 0.000

***

Q: Which of these has the lowest energy relative to the elements?
A: Li2CrP

***

Q: uncorrected energy of number 1 (Li2CrP)?
A: -19.5 eV per cell

***

Q: energy relative to the elements of number 2 (LiCrP2)?
A: -0.13 eV per atom

***

Q: energy relative to the elements of number 2 (LiCrP2)?
A: -0.13 eV per atom